(1)
First-principles (PBE) data for a relaxed DyEr7Sc2 crystal, as listed in Alexandria.

The structure in POSCAR format:
```
DyEr7Sc2
1.0
-2.7779 0.6676 -4.7106
3.8202 -7.0981 -3.2587
-7.5080 -0.7102 4.3269
Dy Er Sc
1 7 2
Direct
0.0000 0.0000 0.0000
0.0000 0.7631 0.2370
0.0000 0.2369 0.7630
0.5000 0.0610 0.3003
0.5000 0.9390 0.6997
0.5000 0.3002 0.0610
0.5000 0.6998 0.9390
0.5000 0.5000 0.5000
0.5000 0.7052 0.2948
0.5000 0.2948 0.7052
```

Computed properties:
The energy relative to the elements comes out at 0.674 eV/atom. As for the space-group type: Cmmm, No. 65.

---

(2)
First-principles (PBE) data for a relaxed La8CuP3Cl4 crystal, as listed in Alexandria.

The structure in POSCAR format:
```
La8CuP3Cl4
1.0
-7.3672 2.9079 3.0072
2.7387 -1.2456 7.9139
4.5480 4.7234 -5.3595
La Cu P Cl
8 1 3 4
Direct
0.2478 0.7336 0.9858
0.2478 0.7336 0.4956
0.2578 0.2735 0.5157
0.7380 0.7336 0.9858
0.2620 0.2664 0.0142
0.7422 0.7265 0.4843
0.7522 0.2664 0.5044
0.7522 0.2664 0.0142
0.0000 0.5000 0.0000
0.5000 0.5000 0.0000
0.5000 0.5000 0.5000
0.0000 0.5000 0.5000
0.5000 0.0000 0.0000
0.5000 0.0000 0.5000
0.0000 0.0000 0.0000
0.0000 0.0000 0.5000
```

Computed properties:
As for the formation energy from raw total energies: -143 kJ per mole of atoms. As for the space-group type: R-3m, No. 166.

---

(3)
First-principles (PBE) data for a relaxed CeGdCd2 crystal, as listed in Alexandria.

The structure in POSCAR format:
```
CeGdCd2
1.0
5.3787 0.0000 0.0000
2.6893 4.6581 0.0000
2.6893 1.5527 4.3917
Gd Ce Cd
1 1 2
Direct
0.0000 0.0000 0.0000
0.5000 0.5000 0.5000
0.2500 0.2500 0.2500
0.7500 0.7500 0.7500
```

Computed properties:
The energy relative to the elements comes out at -0.233 eV/atom. As for the space-group type: Fm-3m, No. 225.

---

(4)
First-principles (PBE) data for a relaxed Li4Cd7Ag crystal, as listed in Alexandria.

The structure in POSCAR format:
```
Li4Cd7Ag
1.0
5.2347 0.0000 0.0000
2.6174 9.6436 0.0424
2.6174 0.3643 5.1908
Li Cd Ag
4 7 1
Direct
0.6403 0.2239 0.4955
0.3597 0.7761 0.5045
0.8478 0.6143 0.6901
0.1522 0.3857 0.3099
0.7925 0.9039 0.5111
0.2075 0.0961 0.4889
0.0931 0.6993 0.1146
0.9069 0.3007 0.8854
0.3776 0.4696 0.7751
0.5000 0.0000 0.0000
0.6224 0.5304 0.2249
0.0000 0.0000 0.0000
```

Computed properties:
The energy relative to the elements comes out at -0.066 eV/atom. As for the space-group type: C2/m, No. 12.

---

(5)
First-principles (PBE) data for a relaxed CeBiBr6 crystal, as listed in Alexandria.

The structure in POSCAR format:
```
CeBiBr6
1.0
-4.9964 -4.1512 3.7338
7.0975 0.7694 2.2743
-2.4057 6.5033 1.9912
Ce Bi Br
1 1 6
Direct
0.0000 0.0000 0.0000
0.5000 0.5000 0.5000
0.5950 0.8954 0.7482
0.8954 0.5950 0.7482
0.1046 0.4050 0.2518
0.4050 0.1046 0.2518
0.2478 0.2478 0.7460
0.7522 0.7522 0.2540
```

Computed properties:
As for the formation energy from raw total energies: -119 kJ per mole of atoms. As for the space-group type: C2/m, No. 12.

---

(6)
First-principles (PBE) data for a relaxed Ga2PdRu crystal, as listed in Alexandria.

The structure in POSCAR format:
```
Ga2PdRu
1.0
3.1116 0.0000 0.0000
0.0000 4.2896 0.0000
0.0000 0.0000 4.2896
Ru Ga Pd
1 2 1
Direct
0.5000 0.0000 0.0000
0.0000 0.0000 0.5000
0.0000 0.5000 0.0000
0.5000 0.5000 0.5000
```

Computed properties:
The energy relative to the elements comes out at -0.489 eV/atom. As for the space-group type: P4/mmm, No. 123.

---

(7)
First-principles (PBE) data for a relaxed Pr2Zn4CdGa3 crystal, as listed in Alexandria.

The structure in POSCAR format:
```
Pr2Zn4CdGa3
1.0
4.3144 0.0000 0.0000
0.0000 4.3144 0.0000
0.0000 0.0000 10.8202
Pr Zn Cd Ga
2 4 1 3
Direct
0.5000 0.0000 0.2395
0.0000 0.5000 0.7605
0.5000 0.5000 0.0000
0.0000 0.0000 0.0000
0.5000 0.0000 0.6433
0.0000 0.5000 0.3567
0.5000 0.5000 0.5000
0.0000 0.0000 0.5000
0.5000 0.0000 0.8696
0.0000 0.5000 0.1304
```

Computed properties:
The energy relative to the elements comes out at -0.434 eV/atom. As for the space-group type: P-4m2, No. 115.

---

(8)
First-principles (PBE) data for a relaxed Cs2NdBiO4 crystal, as listed in Alexandria.

The structure in POSCAR format:
```
Cs2NdBiO4
1.0
-2.8057 1.6048 1.8140
-3.8912 -1.2172 -4.9418
-0.3755 -5.7091 4.4699
Cs Nd Bi O
2 1 1 4
Direct
0.5000 0.0000 0.5000
0.0000 0.5000 0.5000
0.5000 0.5000 0.0000
0.0000 0.0000 0.0000
0.5000 0.2304 0.1768
0.5000 0.7696 0.8232
0.0000 0.2797 0.8278
0.0000 0.7203 0.1722
```

Computed properties:
As for the formation energy from raw total energies: -180 kJ per mole of atoms. As for the space-group type: P2/m, No. 10.

---

(9)
First-principles (PBE) data for a relaxed HfV2Ni2 crystal, as listed in Alexandria.

The structure in POSCAR format:
```
HfV2Ni2
1.0
3.7265 0.0000 0.0000
0.0000 3.7265 0.0000
1.8632 1.8632 5.3326
Ni Hf V
2 1 2
Direct
0.7500 0.2500 0.5000
0.2500 0.7500 0.5000
0.0000 0.0000 0.0000
0.3896 0.3896 0.2208
0.6104 0.6104 0.7792
```

Computed properties:
The energy relative to the elements comes out at 0.118 eV/atom. As for the space-group type: I4/mmm, No. 139.

---

(10)
First-principles (PBE) data for a relaxed La2TbDyS6 crystal, as listed in Alexandria.

The structure in POSCAR format:
```
La2TbDyS6
1.0
7.1507 0.0000 0.0003
3.5753 6.1927 0.0000
3.5751 2.0643 6.1912
La Tb Dy S
2 1 1 6
Direct
0.5246 0.5246 0.4261
0.0248 0.0248 0.9257
0.3153 0.3153 0.0541
0.8155 0.8156 0.5533
0.6067 0.1929 0.2598
0.1929 0.9406 0.2597
0.9407 0.6066 0.2598
0.4420 0.6938 0.7589
0.6939 0.1052 0.7589
0.1052 0.4421 0.7590
```

Computed properties:
As for the formation energy from raw total energies: -203 kJ per mole of atoms. As for the space-group type: R3, No. 146.

---

(11)
First-principles (PBE) data for a relaxed Sr2Ga2Ge crystal, as listed in Alexandria.

The structure in POSCAR format:
```
Sr2Ga2Ge
1.0
-2.8232 2.5241 -1.9483
-4.6561 1.5986 4.1634
3.3878 9.9578 3.3373
Sr Ga Ge
4 4 2
Direct
0.7094 0.2223 0.3588
0.8996 0.3036 0.8972
0.2906 0.7777 0.6412
0.1004 0.6964 0.1028
0.0215 0.3624 0.5947
0.6240 0.8716 0.8804
0.9785 0.6376 0.4053
0.3760 0.1284 0.1196
0.5730 0.1721 0.6818
0.4270 0.8279 0.3182
```

Computed properties:
The energy relative to the elements comes out at -0.503 eV/atom. As for the space-group type: C2/m, No. 12.

---

(12)
First-principles (PBE) data for a relaxed CdHCl crystal, as listed in Alexandria.

The structure in POSCAR format:
```
CdHCl
1.0
9.6786 3.1252 0.0000
5.8743 4.4772 0.0000
0.0000 0.0000 10.9760
Cd H Cl
4 4 4
Direct
0.4841 0.0292 0.3785
0.4841 0.5292 0.1215
0.5159 0.9708 0.6215
0.5159 0.4708 0.8785
0.4366 0.0618 0.9755
0.4366 0.5618 0.5245
0.5634 0.9382 0.0245
0.5634 0.4382 0.4755
0.0782 0.8396 0.2709
0.9218 0.6604 0.7709
0.9218 0.1604 0.7291
0.0782 0.3396 0.2291
```

Computed properties:
As for the energy: -2.57 eV per atom. As for the space-group type: P2_1/c, No. 14.